DFT (PBE-GGA) results for crystalline Tb12In3Hg5 at its relaxed geometry.

CIF file:
```
data_Tb12In3Hg5
_space_group_name_H-M_alt 'I a -3 d'
_space_group_IT_number 230
_space_group_name_Hall '-I 4bd 2c 3'
_cell_length_a 17.7416
_cell_length_b 17.7416
_cell_length_c 17.7416
_cell_angle_alpha 90.00
_cell_angle_beta 90.00
_cell_angle_gamma 90.00
loop_
_atom_site_label
_atom_site_fract_x
_atom_site_fract_y
_atom_site_fract_z
Tb1 0.0158 0.0724 0.6493
In1 0.0000 0.2500 0.1250
Hg1 0.0000 0.0000 0.0000
Hg2 0.0000 0.2500 0.3750
```

Summary:
The crystal system is cubic. The formation enthalpy at 0 K comes out at 0.06 eV per atom. The density of states at the Fermi level comes out at 28.27 states/eV/f.u.



DFT (PBE-GGA) results for crystalline Tb2InGa2Pt5 at its relaxed geometry.

CIF file:
```
data_Tb2InGa2Pt5
_space_group_name_H-M_alt 'P 4/m b m'
_space_group_IT_number 127
_space_group_name_Hall '-P 4 2ab'
_cell_length_a 9.8227
_cell_length_b 9.8227
_cell_length_c 3.8316
_cell_angle_alpha 90.00
_cell_angle_beta 90.00
_cell_angle_gamma 90.00
loop_
_atom_site_label
_atom_site_fract_x
_atom_site_fract_y
_atom_site_fract_z
Tb1 0.1763 0.3237 0.0000
In1 0.0000 0.0000 0.0000
Ga1 0.1221 0.6221 0.0000
Pt1 0.0000 0.5000 0.5000
Pt2 0.0642 0.7897 0.5000
```

Summary:
The crystal system is tetragonal. The formation enthalpy at 0 K comes out at -0.86 eV per atom. The density of states at the Fermi level comes out at 5.06 states/eV/f.u.



DFT (PBE-GGA) results for crystalline CaPrHoLu at its relaxed geometry.

CIF file:
```
data_CaPrHoLu
_space_group_name_H-M_alt 'F -4 3 m'
_space_group_IT_number 216
_space_group_name_Hall 'F -4 2 3'
_cell_length_a 8.1471
_cell_length_b 8.1471
_cell_length_c 8.1471
_cell_angle_alpha 90.00
_cell_angle_beta 90.00
_cell_angle_gamma 90.00
loop_
_atom_site_label
_atom_site_fract_x
_atom_site_fract_y
_atom_site_fract_z
Ca1 0.0000 0.0000 0.0000
Pr1 0.2500 0.2500 0.2500
Ho1 0.2500 0.2500 0.7500
Lu1 0.0000 0.0000 0.5000
```

Summary:
The crystal system is cubic. The formation enthalpy at 0 K comes out at 0.13 eV per atom. The density of states at the Fermi level comes out at 6.16 states/eV/f.u.